1.
DFT (PBE) results for an optimized crystal structure of PRuO.

```
3
Lattice="2.652 -1.524 0.000 2.652 1.524 0.000 -1.751 0.000 5.020" Properties=species:S:1:pos:R:3 pbc="T T T"
P 0.000 0.000 0.000
Ru 0.008 0.000 3.620
O -0.002 0.000 1.508
```

Computed properties:
As for the energy relative to the elements, uncorrected: -2.8 eV per formula unit. As for the offset from the most stable computed form: 30 meV per atom.

=====

2.
DFT (PBE) results for an optimized crystal structure of Sr2BeP.

```
4
Lattice="3.528 0.000 0.000 0.000 3.528 0.000 0.000 0.000 8.764" Properties=species:S:1:pos:R:3 pbc="T T T"
Sr 0.000 0.000 0.000
Sr 1.764 1.764 3.748
Be 0.000 0.000 5.886
P 1.764 1.764 6.711
```

Computed properties:
As for the offset from the most stable computed form: 499 meV per atom.

=====

3.
DFT (PBE) results for an optimized crystal structure of Ca3InP.

```
5
Lattice="5.474 0.000 0.000 0.000 5.474 0.000 0.000 0.000 5.474" Properties=species:S:1:pos:R:3 pbc="T T T"
Ca 0.000 0.000 2.737
Ca 0.000 2.737 0.000
Ca 2.737 0.000 0.000
In 2.737 2.737 2.737
P 0.000 0.000 0.000
```

Computed properties:
As for the offset from the most stable computed form: 69 meV per atom.

=====

4.
DFT (PBE) results for an optimized crystal structure of CaScSb2.

```
4
Lattice="0.000 3.748 3.748 3.748 0.000 3.748 3.748 3.748 0.000" Properties=species:S:1:pos:R:3 pbc="T T T"
Ca 0.000 0.000 0.000
Sc 3.748 3.748 3.748
Sb 1.874 1.874 1.874
Sb 5.622 5.622 5.622
```

Computed properties:
As for the energy relative to the elements, uncorrected: -2.6 eV per formula unit. As for the offset from the most stable computed form: 193 meV per atom.

=====

5.
DFT (PBE) results for an optimized crystal structure of RbAlAgF6.

```
36
Lattice="7.188 0.000 0.000 0.000 7.297 0.000 0.000 0.000 10.404" Properties=species:S:1:pos:R:3 pbc="T T T"
Rb 0.220 1.824 1.328
Rb 3.374 5.473 6.530
Rb 3.814 1.824 3.874
Rb 6.968 5.473 9.077
Al 0.000 0.000 5.202
Al 0.000 3.649 5.202
Al 3.594 0.000 0.000
Al 3.594 3.649 0.000
Ag 1.419 1.824 7.885
Ag 2.175 5.473 2.683
Ag 5.014 1.824 7.722
Ag 5.769 5.473 2.519
F 0.350 1.824 5.261
F 0.425 5.473 1.542
F 0.798 3.835 6.837
F 0.798 7.110 6.837
F 1.611 3.905 4.404
F 1.611 7.040 4.404
F 1.983 0.257 9.606
F 1.983 3.392 9.606
F 2.796 0.187 1.635
F 2.796 3.462 1.635
F 3.169 1.824 6.745
F 3.244 5.473 0.059
F 3.944 1.824 10.346
F 4.019 5.473 3.660
F 4.392 3.835 8.770
F 4.392 7.110 8.770
F 5.205 3.905 0.798
F 5.205 7.040 0.798
F 5.577 0.257 6.000
F 5.577 3.392 6.000
F 6.390 0.187 3.567
F 6.390 3.462 3.567
F 6.763 1.824 8.862
F 6.839 5.473 5.144
```

Computed properties:
As for the energy relative to the elements, uncorrected: -23.6 eV per formula unit. As for the offset from the most stable computed form: 0 meV per atom.

=====

6.
DFT (PBE) results for an optimized crystal structure of CaZrCl2.

```
8
Lattice="-2.448 2.448 8.612 2.448 -2.448 8.612 2.448 2.448 -8.612" Properties=species:S:1:pos:R:3 pbc="T T T"
Ca 0.000 0.000 0.000
Ca 0.000 2.448 4.306
Zr 2.448 0.000 4.306
Zr 0.000 0.000 8.612
Cl 1.224 -1.029 6.459
Cl 1.419 1.224 2.153
Cl 1.224 3.478 -2.153
Cl 1.029 1.224 10.765
```

Computed properties:
As for the energy relative to the elements, uncorrected: -3.2 eV per formula unit. As for the offset from the most stable computed form: 382 meV per atom.

=====

7.
DFT (PBE) results for an optimized crystal structure of La2CuRe.

```
4
Lattice="3.977 -1.728 0.000 3.977 1.728 0.000 -1.407 0.000 7.559" Properties=species:S:1:pos:R:3 pbc="T T T"
La 1.659 0.000 1.718
La 4.887 0.000 5.841
Cu -0.703 0.000 3.779
Re 3.977 0.000 0.000
```

Computed properties:
As for the offset from the most stable computed form: 270 meV per atom.

=====

8.
DFT (PBE) results for an optimized crystal structure of Nb2N2F.

```
10
Lattice="6.157 0.000 0.000 0.000 6.157 0.000 0.000 0.000 2.817" Properties=species:S:1:pos:R:3 pbc="T T T"
Nb 0.915 2.163 0.000
Nb 2.163 5.242 0.000
Nb 3.994 0.915 0.000
Nb 5.242 3.994 0.000
N 0.872 3.951 1.409
N 2.207 0.872 1.409
N 3.951 5.285 1.409
N 5.285 2.207 1.409
F 0.000 0.000 0.000
F 3.079 3.079 0.000
```

Computed properties:
As for the energy relative to the elements, uncorrected: -5.7 eV per formula unit. As for the offset from the most stable computed form: 0 meV per atom.

=====

9.
DFT (PBE) results for an optimized crystal structure of In2SnBi2Pb4.

```
9
Lattice="6.514 0.000 0.000 1.016 6.812 0.000 2.693 0.917 6.435" Properties=species:S:1:pos:R:3 pbc="T T T"
In 1.957 2.614 2.299
In 8.266 5.116 4.135
Sn 3.765 3.406 0.000
Bi 3.970 2.636 5.018
Bi 6.254 5.093 1.417
Pb 2.856 6.332 1.129
Pb 4.798 6.105 4.234
Pb 5.425 1.625 2.200
Pb 7.368 1.397 5.305
```

=====

10.
DFT (PBE) results for an optimized crystal structure of Dy2BiTe.

```
4
Lattice="3.832 -2.214 0.000 3.832 2.214 0.000 -2.563 0.000 7.179" Properties=species:S:1:pos:R:3 pbc="T T T"
Dy 1.275 0.000 1.789
Dy 3.826 0.000 5.389
Bi 3.832 0.000 0.000
Te -1.282 0.000 3.589
```

Computed properties:
As for the energy relative to the elements, uncorrected: -4.4 eV per formula unit. As for the offset from the most stable computed form: 0 meV per atom.

=====

11.
DFT (PBE) results for an optimized crystal structure of Ca2In2As2P.

```
7
Lattice="4.141 0.000 0.000 1.163 6.855 0.000 0.056 3.510 6.588" Properties=species:S:1:pos:R:3 pbc="T T T"
Ca 0.645 2.008 1.419
Ca 4.714 8.356 5.169
In 1.818 5.205 1.853
In 3.541 5.159 4.735
As 1.469 3.475 4.062
As 3.890 6.889 2.526
P 2.652 3.427 0.000
```

=====

12.
DFT (PBE) results for an optimized crystal structure of UPaNb2.

```
4
Lattice="5.391 0.000 0.000 0.000 5.391 0.000 0.000 0.000 3.000" Properties=species:S:1:pos:R:3 pbc="T T T"
U 0.000 0.000 0.000
Pa 2.695 2.695 0.000
Nb 0.000 2.695 1.500
Nb 2.695 0.000 1.500
```

Computed properties:
As for the offset from the most stable computed form: 51 meV per atom.

=====

13.
DFT (PBE) results for an optimized crystal structure of Cs5K2Na5.

```
12
Lattice="6.303 -3.638 0.000 6.303 3.638 0.000 -4.190 0.000 18.717" Properties=species:S:1:pos:R:3 pbc="T T T"
Cs 0.000 0.000 0.000
Cs 0.003 0.000 10.636
Cs 0.007 0.000 15.645
Cs 8.410 0.000 3.072
Cs 8.413 0.000 8.081
K 4.214 0.000 5.375
K 4.203 0.000 13.342
Na 0.015 0.000 5.755
Na 4.211 0.000 1.232
Na 4.208 0.000 9.359
Na 4.205 0.000 17.485
Na 8.402 0.000 12.962
```

=====

14.
DFT (PBE) results for an optimized crystal structure of Sm3Mg21Sb16.

```
40
Lattice="4.644 0.000 0.000 -2.322 4.022 0.000 0.000 0.000 58.600" Properties=species:S:1:pos:R:3 pbc="T T T"
Sm 0.000 0.000 0.000
Sm 0.000 0.000 14.700
Sm 0.000 0.000 43.900
Mg 0.000 0.000 7.340
Mg 0.000 0.000 22.132
Mg 0.000 0.000 29.300
Mg 0.000 0.000 36.468
Mg 0.000 0.000 51.260
Mg 0.000 2.681 4.790
Mg 0.000 2.681 11.888
Mg 0.000 2.681 19.523
Mg 0.000 2.681 26.659
Mg 0.000 2.681 33.876
Mg 0.000 2.681 41.084
Mg 0.000 2.681 48.713
Mg 0.000 2.681 55.810
Mg 2.322 1.341 2.790
Mg 2.322 1.341 9.887
Mg 2.322 1.341 17.516
Mg 2.322 1.341 24.724
Mg 2.322 1.341 31.941
Mg 2.322 1.341 39.077
Mg 2.322 1.341 46.712
Mg 2.322 1.341 53.810
Sb 0.000 2.681 1.813
Sb 0.000 2.681 8.962
Sb 0.000 2.681 16.511
Sb 0.000 2.681 23.680
Sb 0.000 2.681 30.932
Sb 0.000 2.681 38.179
Sb 0.000 2.681 45.725
Sb 0.000 2.681 52.882
Sb 2.322 1.341 5.718
Sb 2.322 1.341 12.875
Sb 2.322 1.341 20.421
Sb 2.322 1.341 27.668
Sb 2.322 1.341 34.920
Sb 2.322 1.341 42.089
Sb 2.322 1.341 49.638
Sb 2.322 1.341 56.787
```

Computed properties:
As for the energy relative to the elements, uncorrected: -18.9 eV per formula unit.

=====

15.
DFT (PBE) results for an optimized crystal structure of Li4Ga3Ni.

```
8
Lattice="4.142 0.000 0.000 0.000 2.658 0.000 -2.048 0.000 11.228" Properties=species:S:1:pos:R:3 pbc="T T T"
Li 0.009 0.000 2.185
Li 0.012 0.000 4.842
Li 2.082 0.000 6.386
Li 2.085 0.000 9.043
Ga 0.015 1.329 7.579
Ga 2.071 0.000 0.000
Ga 2.080 1.329 3.650
Ni 0.000 1.329 0.000
```

=====

Number 1: electronic total energy -22.45 eV for the cell shown, magnetic moment 0.000 μB/cell. Number 2: electronic total energy -12.27 eV for the cell shown, magnetic moment 0.326 μB/cell. Number 3: electronic total energy -17.34 eV for the cell shown, magnetic moment 0.000 μB/cell. Number 4: electronic total energy -19.18 eV for the cell shown, magnetic moment 0.000 μB/cell. Number 5: electronic total energy -169.39 eV for the cell shown, magnetic moment 3.676 μB/cell. Number 6: electronic total energy -34.82 eV for the cell shown, magnetic moment 2.671 μB/cell. Number 7: electronic total energy -24.73 eV for the cell shown, magnetic moment 0.001 μB/cell. Number 8: electronic total energy -88.63 eV for the cell shown, magnetic moment 0.000 μB/cell. Number 9: electronic total energy -31.68 eV for the cell shown, magnetic moment 0.000 μB/cell. Number 10: electronic total energy -20.58 eV for the cell shown, magnetic moment 0.000 μB/cell. Number 11: electronic total energy -28.39 eV for the cell shown, magnetic moment 0.000 μB/cell. Number 12: electronic total energy -39.28 eV for the cell shown, magnetic moment 1.592 μB/cell. Number 13: electronic total energy -12.73 eV for the cell shown, magnetic moment 0.000 μB/cell. Number 14: electronic total energy -132.50 eV for the cell shown, magnetic moment 0.000 μB/cell. Number 15: electronic total energy -24.32 eV for the cell shown, magnetic moment 0.000 μB/cell.